{"formula": "Na2NiGeO4", "functional": "PBE+U", "state": "optimized geometry", "m_tot_mub_per_fu": 2.000, "dos_at_fermi_per_ev_cell": 0.00, "final_energy_ev_per_atom": -5.245, "lattice": [[-3.0310, 3.1626, 4.3457], [3.0310, -3.1626, 4.3457], [3.0310, 3.1626, -4.3457]], "species": ["Na", "Na", "Na", "Na", "Ni", "Ni", "Ge", "Ge", "O", "O", "O", "O", "O", "O", "O", "O"], "fractional_positions": [[0.0000, 0.0000, 0.0000], [0.5000, 0.0000, 0.0000], [0.5000, 0.0000, 0.5000], [0.5000, 0.5000, 0.5000], [0.0000, 0.5000, 0.5000], [0.5000, 0.5000, 0.0000], [0.0000, 0.0000, 0.5000], [0.0000, 0.5000, 0.0000], [0.2046, 0.7432, 0.4615], [0.2182, 0.2372, 0.5190], [0.2183, 0.2568, 0.9615], [0.2182, 0.6992, 0.9810], [0.7818, 0.3008, 0.0190], [0.7817, 0.7432, 0.0385], [0.7818, 0.7628, 0.4810], [0.7954, 0.2568, 0.5385]]}